Entry from Alexandria via LeMat-Bulk: a geometry-optimized Cd5Te structure (GGA-PBE).

Values from the calculation:
Magnetic moment = 0.00 μB/f.u.
Uncorrected formation energy = 0.062 eV per atom
E above lowest polymorph = 0.045 eV per atom

Unit cell a=3.2429 b=3.2429 c=14.0233 alpha=90.00 beta=90.00 gamma=90.00
Fractional coordinates of all 6 atoms:
Cd: 0.0000 0.0000 0.0000
Cd: 0.0000 0.0000 0.3080
Cd: 0.0000 0.0000 0.6920
Cd: 0.5000 0.5000 0.1544
Cd: 0.5000 0.5000 0.8456
Te: 0.5000 0.5000 0.5000